1.
BiPb3Au2 after structural relaxation, computed with PBE-GGA.

```
24
Lattice="9.1489 0.0000 0.0000 0.0000 7.8107 0.0000 -4.6681 0.0000 9.2427" Properties=species:S:1:pos:R:3 pbc="T T T"
Bi -0.3496 1.2350 2.2184
Bi -2.6837 2.6703 6.8397
Bi 7.1645 5.1404 2.4030
Bi 4.8304 6.5756 7.0244
Pb -0.6936 0.0829 5.5608
Pb 1.6404 3.8225 0.9394
Pb 2.7654 0.2173 0.1666
Pb 0.4314 3.6880 4.7880
Pb -0.5573 5.1326 7.8996
Pb 1.7767 6.5834 3.2783
Pb 2.7041 1.2272 5.9645
Pb 5.0382 2.6781 1.3431
Pb 4.0494 4.1226 4.4548
Pb 1.7154 7.5934 9.0762
Pb 2.8404 3.9882 8.3033
Pb 5.1744 7.7278 3.6820
Au -2.2359 5.3377 5.3437
Au 0.0982 6.3784 0.7223
Au 2.5899 1.7392 2.9243
Au 0.2559 2.1661 7.5457
Au 4.2249 5.6446 1.6970
Au 1.8909 6.0714 6.3184
Au 4.3827 1.4323 8.5204
Au 6.7167 2.4730 3.8990
```

Values from the calculation:
Total DFT energy (no corrections)   -3.643 eV/atom
Offset from the most stable computed form   0 meV/atom
Calculated formation energy   -0.049 eV per atom

2.
PrNpSi2O8 after structural relaxation, computed with PBE-GGA.

```
12
Lattice="-3.5399 3.5399 3.1260 3.5399 -3.5399 3.1260 3.5399 3.5399 -3.1260" Properties=species:S:1:pos:R:3 pbc="T T T"
Pr 0.0000 0.0000 0.0000
Np 3.5399 0.0000 1.5630
Si 0.0000 0.0000 3.1260
Si 0.0000 3.5399 1.5630
O 2.2209 3.5399 -1.0078
O 1.3190 0.0000 2.1182
O 0.0000 2.3258 0.4574
O 3.5399 2.2209 1.0078
O 0.0000 4.7540 0.4574
O 0.0000 1.3190 4.1338
O -1.2141 3.5399 2.6686
O 1.2141 3.5399 2.6686
```

Values from the calculation:
Total DFT energy (no corrections)   -8.600 eV/atom
Formation energy without anion corrections   -2.91 eV per atom

3.
PuTcAs after structural relaxation, computed with PBE-GGA.

```
6
Lattice="3.8123 0.0000 0.0000 0.0000 4.4820 0.0000 0.0000 0.0000 7.0766" Properties=species:S:1:pos:R:3 pbc="T T T"
Pu 0.0000 0.8527 0.0000
Pu 0.0000 3.6293 3.5383
Tc 1.9061 0.8102 4.9193
Tc 1.9061 3.6718 1.3810
As 1.9061 1.4186 2.4785
As 1.9061 3.0634 6.0168
```

Values from the calculation:
Total DFT energy (no corrections)   -10.113 eV/atom
Offset from the most stable computed form   0 meV/atom
Calculated formation energy   -0.331 eV per atom

4.
SmEr2Pd3 after structural relaxation, computed with PBE-GGA.

```
12
Lattice="5.0112 0.0000 0.0000 0.0000 15.1047 0.0000 0.0000 0.0000 3.4308" Properties=species:S:1:pos:R:3 pbc="T T T"
Sm 1.2528 3.7762 0.0026
Sm 3.7584 11.3285 3.4283
Er 1.2528 8.8052 3.4297
Er 1.2528 13.8518 3.4297
Er 3.7584 1.2529 0.0011
Er 3.7584 6.2995 0.0011
Pd 1.2528 1.1464 1.7173
Pd 1.2528 6.4059 1.7173
Pd 1.2528 11.3285 1.7139
Pd 3.7584 3.7762 1.7169
Pd 3.7584 8.6988 1.7135
Pd 3.7584 13.9582 1.7135
```

Values from the calculation:
Total DFT energy (no corrections)   -5.781 eV/atom
Calculated formation energy   -0.877 eV per atom

5.
YEr2Al6 after structural relaxation, computed with PBE-GGA.

```
9
Lattice="7.8932 0.0000 0.0000 -3.9466 6.8357 0.0000 0.0000 0.0000 3.4442" Properties=species:S:1:pos:R:3 pbc="T T T"
Y 0.0000 0.0000 0.0000
Er 0.0000 4.5572 0.0000
Er 3.9466 2.2786 0.0000
Al -1.3183 2.2833 1.7221
Al -2.6283 4.5524 1.7221
Al 2.6366 0.0000 1.7221
Al 1.3183 2.2833 1.7221
Al 5.2567 0.0000 1.7221
Al 2.6283 4.5524 1.7221
```

Values from the calculation:
Total DFT energy (no corrections)   -4.722 eV/atom
Calculated formation energy   -0.495 eV per atom

6.
TbNdRhCl after structural relaxation, computed with PBE-GGA.

```
4
Lattice="2.0014 1.1555 7.6469 -2.0014 1.1555 7.6469 0.0000 -2.3110 7.6469" Properties=species:S:1:pos:R:3 pbc="T T T"
Tb 0.0000 0.0000 0.0000
Nd 0.0000 0.0000 4.5699
Rh 0.0000 0.0000 13.8142
Cl 0.0000 0.0000 9.8245
```

Values from the calculation:
Total DFT energy (no corrections)   -5.809 eV/atom
Formation energy without anion corrections   -1.16 eV per atom